1.
The following is a PBE-GGA calculation of GeBO2 after structural relaxation, from Alexandria.

## Properties
calculated volume	10.0	A^3/atom
formation energy (no corrections)	63.7	kJ per mole of atoms
total energy	-4.64	eV per atom
magnetization	0.00	Bohr magnetons per cell
excess energy over the best structure of this formula in the dataset	1.811	eV/atom
symmetry	Fm-3m (225)

POSCAR file:
```
GeBO2
1.0
0.000 2.713 2.713
2.713 0.000 2.713
2.713 2.713 0.000
Ge O B
1 2 1
Direct
0.500 0.500 0.500 Ge
0.750 0.750 0.750 O
0.250 0.250 0.250 O
0.000 0.000 0.000 B
```

=====

2.
The following is a PBE-GGA calculation of PmTeC after structural relaxation, from Alexandria.

## Properties
calculated volume	29.8	A^3/atom
formation energy (no corrections)	-54.0	kJ per mole of atoms
total energy	-6.26	eV per atom
magnetization	0.00	Bohr magnetons per cell
symmetry	C2/m (12)

POSCAR file:
```
PmTeC
1.0
-2.876 2.246 2.323
-4.102 -0.889 -1.046
-0.208 -7.579 7.127
Pm C Te
2 2 2
Direct
0.327 0.327 0.156 Pm
0.673 0.673 0.844 Pm
0.866 0.134 0.000 C
0.134 0.866 0.000 C
0.319 0.319 0.686 Te
0.681 0.681 0.314 Te
```

=====

3.
The following is a PBE-GGA calculation of Th2Ga7Au12 after structural relaxation, from Alexandria.

## Properties
calculated volume	19.5	A^3/atom
total energy	-3.94	eV per atom
magnetization	0.00	Bohr magnetons per cell
formation enthalpy at 0 K	-352	meV/atom
symmetry	P-3 (147)

POSCAR file:
```
Th2Ga7Au12
1.0
-1.327 -3.992 -1.145
9.573 -3.703 1.817
-7.070 0.153 7.659
Au Th Ga
12 2 7
Direct
0.213 0.128 0.868 Au
0.213 0.132 0.261 Au
0.213 0.739 0.872 Au
0.764 0.375 0.921 Au
0.787 0.868 0.739 Au
0.787 0.261 0.128 Au
0.787 0.872 0.132 Au
0.236 0.921 0.546 Au
0.236 0.454 0.375 Au
0.764 0.079 0.454 Au
0.236 0.625 0.079 Au
0.764 0.546 0.625 Au
0.758 0.667 0.333 Th
0.242 0.333 0.667 Th
0.716 0.102 0.707 Ga
0.284 0.707 0.605 Ga
0.500 0.000 0.000 Ga
0.284 0.395 0.102 Ga
0.716 0.293 0.395 Ga
0.284 0.898 0.293 Ga
0.716 0.605 0.898 Ga
```

=====

4.
The following is a PBE-GGA calculation of CdCl5 after structural relaxation, from Alexandria.

## Properties
calculated volume	26.3	A^3/atom
formation energy (no corrections)	7.0	kJ per mole of atoms
total energy	-1.62	eV per atom
magnetization	3.07	Bohr magnetons per cell
excess energy over the best structure of this formula in the dataset	0.437	eV/atom
symmetry	P4/mmm (123)

POSCAR file:
```
CdCl5
1.0
-1.871 -2.634 -1.041
2.672 -1.228 -1.696
3.784 -7.067 11.076
Cl Cd
5 1
Direct
0.500 0.500 0.368 Cl
0.000 0.000 0.500 Cl
0.500 0.500 0.632 Cl
0.000 0.000 0.116 Cl
0.000 0.000 0.884 Cl
0.500 0.500 0.000 Cd
```

=====

5.
The following is a PBE-GGA calculation of Cs2ZnCdBr6 after structural relaxation, from Alexandria.

## Properties
calculated volume	34.2	A^3/atom
formation energy (no corrections)	-115.8	kJ per mole of atoms
total energy	-2.59	eV per atom
magnetization	0.00	Bohr magnetons per cell
excess energy over the best structure of this formula in the dataset	0.040	eV/atom
symmetry	I4/mmm (139)

POSCAR file:
```
Cs2ZnCdBr6
1.0
7.780 0.000 0.000
0.000 7.780 0.000
3.890 3.890 5.658
Br Cs Zn Cd
6 2 1 1
Direct
0.267 0.267 0.000 Br
0.733 0.733 0.000 Br
0.733 0.267 0.000 Br
0.767 0.767 0.467 Br
0.233 0.233 0.533 Br
0.267 0.733 0.000 Br
0.750 0.250 0.500 Cs
0.250 0.750 0.500 Cs
0.500 0.500 0.000 Zn
0.000 0.000 0.000 Cd
```

=====

6.
The following is a PBE-GGA calculation of Ca2GaReN4 after structural relaxation, from Alexandria.

## Properties
calculated volume	16.4	A^3/atom
formation energy (no corrections)	-60.6	kJ per mole of atoms
total energy	-7.23	eV per atom
magnetization	0.00	Bohr magnetons per cell
symmetry	Pmn2_1 (31)

POSCAR file:
```
Ca2GaReN4
1.0
5.213 0.000 0.000
0.000 5.995 0.000
0.000 0.000 8.414
N Ga Re Ca
8 2 2 4
Direct
0.429 0.686 0.318 N
0.355 0.110 0.000 N
0.429 0.686 0.682 N
0.855 0.890 0.500 N
0.929 0.314 0.818 N
0.929 0.314 0.182 N
0.366 0.125 0.500 N
0.866 0.875 0.000 N
0.479 0.783 0.000 Ga
0.979 0.217 0.500 Ga
0.005 0.160 0.000 Re
0.505 0.840 0.500 Re
0.468 0.302 0.755 Ca
0.968 0.698 0.255 Ca
0.968 0.698 0.745 Ca
0.468 0.302 0.245 Ca
```

=====

7.
The following is a PBE-GGA calculation of Sc3InSb after structural relaxation, from Alexandria.

## Properties
calculated volume	23.4	A^3/atom
formation energy (no corrections)	-45.9	kJ per mole of atoms
total energy	-5.65	eV per atom
magnetization	0.00	Bohr magnetons per cell
excess energy over the best structure of this formula in the dataset	0.000	eV/atom
symmetry	Pm (6)

POSCAR file:
```
Sc3InSb
1.0
-0.723 -3.148 -2.589
6.628 -2.930 1.714
-2.718 -4.137 5.792
Sb Sc In
2 6 2
Direct
0.363 0.061 0.644 Sb
0.363 0.808 0.185 Sb
0.363 0.457 0.395 Sc
0.863 0.532 0.074 Sc
0.363 0.218 0.007 Sc
0.863 0.342 0.691 Sc
0.863 0.924 0.918 Sc
0.863 0.799 0.488 Sc
0.863 0.185 0.293 In
0.363 0.617 0.769 In
```

=====

8.
The following is a PBE-GGA calculation of CeY2V after structural relaxation, from Alexandria.

## Properties
calculated volume	27.3	A^3/atom
total energy	-6.37	eV per atom
magnetization	2.60	Bohr magnetons per cell
formation enthalpy at 0 K	624	meV/atom
symmetry	R-3m (166)

POSCAR file:
```
CeY2V
1.0
3.327 0.000 0.000
1.663 2.881 0.000
1.663 0.960 11.398
Ce Y V
1 2 1
Direct
0.500 0.500 0.500 Ce
0.918 0.918 0.247 Y
0.082 0.082 0.753 Y
0.000 0.000 0.000 V
```

=====

9.
The following is a PBE-GGA calculation of SrFe4Sn12 after structural relaxation, from Alexandria.

## Properties
calculated volume	24.3	A^3/atom
total energy	-4.86	eV per atom
magnetization	6.54	Bohr magnetons per cell
formation enthalpy at 0 K	54	meV/atom
symmetry	Im-3 (204)

POSCAR file:
```
SrFe4Sn12
1.0
8.132 0.000 0.000
-2.711 7.667 0.000
-2.711 -3.833 6.640
Sn Sr Fe
12 1 4
Direct
0.668 0.492 0.825 Sn
0.508 0.175 0.332 Sn
0.175 0.332 0.508 Sn
0.332 0.157 0.825 Sn
0.825 0.332 0.157 Sn
0.825 0.668 0.492 Sn
0.668 0.843 0.175 Sn
0.843 0.175 0.668 Sn
0.492 0.825 0.668 Sn
0.175 0.668 0.843 Sn
0.332 0.508 0.175 Sn
0.157 0.825 0.332 Sn
0.000 0.000 0.000 Sr
0.500 0.500 0.500 Fe
0.500 0.000 0.000 Fe
0.000 0.000 0.500 Fe
0.000 0.500 0.000 Fe
```

=====

10.
The following is a PBE-GGA calculation of LiNd2Zr after structural relaxation, from Alexandria.

## Properties
calculated volume	28.6	A^3/atom
total energy	-4.63	eV per atom
magnetization	0.33	Bohr magnetons per cell
excess energy over the best structure of this formula in the dataset	0.266	eV/atom
formation enthalpy at 0 K	372	meV/atom
symmetry	R-3m (166)

POSCAR file:
```
LiNd2Zr
1.0
-3.046 -0.922 0.942
-0.389 -2.530 2.113
-0.598 6.483 10.259
Nd Li Zr
2 1 1
Direct
0.086 0.086 0.741 Nd
0.914 0.914 0.259 Nd
0.500 0.500 0.500 Li
0.000 0.000 0.000 Zr
```

=====

11.
The following is a PBE-GGA calculation of Sr2HgGe2 after structural relaxation, from Alexandria.

## Properties
calculated volume	27.7	A^3/atom
total energy	-3.11	eV per atom
magnetization	0.00	Bohr magnetons per cell
formation enthalpy at 0 K	-527	meV/atom
symmetry	C2/m (12)

POSCAR file:
```
Sr2HgGe2
1.0
-1.864 2.583 -3.706
-6.175 0.446 0.195
-0.075 9.641 3.535
Sr Ge Hg
4 4 2
Direct
0.693 0.283 0.331 Sr
0.915 0.274 0.896 Sr
0.307 0.717 0.669 Sr
0.085 0.726 0.104 Sr
0.625 0.852 0.897 Ge
0.918 0.712 0.452 Ge
0.082 0.288 0.548 Ge
0.375 0.148 0.103 Ge
0.607 0.123 0.663 Hg
0.393 0.877 0.337 Hg
```

=====

12.
The following is a PBE-GGA calculation of NbTeOs2N after structural relaxation, from Alexandria.

## Properties
calculated volume	16.3	A^3/atom
formation energy (no corrections)	80.6	kJ per mole of atoms
total energy	-7.96	eV per atom
magnetization	0.00	Bohr magnetons per cell
symmetry	P4/mmm (123)

POSCAR file:
```
NbTeOs2N
1.0
-2.796 -1.795 2.140
3.683 -2.392 2.805
0.016 3.018 2.552
Te Os N Nb
1 2 1 1
Direct
0.000 0.500 0.000 Te
0.500 0.000 0.000 Os
0.000 0.000 0.500 Os
0.000 0.000 0.000 N
0.500 0.500 0.500 Nb
```